1.
The following is a GGA-PBE calculation of crystalline SmTmI at its relaxed geometry, from Alexandria.

Geometry as POSCAR:
```
SmTmI
1.0
7.273 -1.847 0.000
7.273 1.847 0.000
-2.009 0.000 7.106
Sm Tm I
2 2 2
Direct
0.163 0.163 0.079
0.837 0.837 0.921
0.169 0.169 0.582
0.831 0.831 0.418
0.496 0.496 0.745
0.504 0.504 0.255
```

- offset from the most stable computed form (meV per atom) = 5
- formation energy without anion corrections (eV per atom) = -0.402

---

2.
The following is a GGA-PBE calculation of crystalline CoGe2Pd at its relaxed geometry, from Alexandria.

Geometry as POSCAR:
```
CoGe2Pd
1.0
1.919 1.108 4.805
-1.919 1.108 4.805
0.000 -2.216 4.805
Co Ge Pd
1 2 1
Direct
0.000 0.000 0.000
0.385 0.385 0.385
0.585 0.585 0.585
0.813 0.813 0.813
```

- offset from the most stable computed form (meV per atom) = 0